A:
The following is a DFT calculation (GGA-PBE) of a geometry-optimized Dy5Pb2 structure.

Unit cell a=20.0280 b=20.0280 c=4.5997 alpha=90.00 beta=90.00 gamma=166.80
Closest atoms and distances in Å follow each position.
Atoms (fractional coordinates):
Dy (0.0351, 0.9649, 0.7500)  8 Dy 3.25-3.62, 2 Pb 3.36
Dy (0.1092, 0.8908, 0.2500)  5 Pb 3.18-3.29
Dy (0.2500, 0.7500, 0.7500)  4 Dy 3.25, 4 Pb 3.34
Dy (0.3236, 0.6764, 0.2500)  5 Pb 3.18-3.29
Dy (0.4649, 0.5351, 0.7500)  8 Dy 3.25-3.62, 2 Pb 3.36
Dy (0.5351, 0.4649, 0.2500)  8 Dy 3.25-3.62, 2 Pb 3.36
Dy (0.6764, 0.3236, 0.7500)  5 Pb 3.18-3.29
Dy (0.7500, 0.2500, 0.2500)  4 Dy 3.25, 4 Pb 3.34
Dy (0.8908, 0.1092, 0.7500)  5 Pb 3.18-3.29
Dy (0.9649, 0.0351, 0.2500)  8 Dy 3.25-3.62, 2 Pb 3.36
Pb (0.1892, 0.8108, 0.2500)  9 Dy 3.18-3.34
Pb (0.4034, 0.5966, 0.2500)  9 Dy 3.18-3.36
Pb (0.5966, 0.4034, 0.7500)  9 Dy 3.18-3.36
Pb (0.8108, 0.1892, 0.7500)  9 Dy 3.18-3.34

## Properties
SG ... Cmcm
Magnetic moment ... 0.00 Bohr magnetons per cell
D(E_F) ... 0.96 states/eV/atom
Crystal system ... orthorhombic

***

B:
The following is a DFT calculation (GGA-PBE) of a geometry-optimized Dy5Pb2 structure.

Unit cell a=8.6140 b=8.6140 c=8.5900 alpha=96.30 beta=96.30 gamma=42.79
Closest atoms and distances in Å follow each position.
Atoms (fractional coordinates):
Dy (0.1183, 0.3222, 0.3132)  3 Pb 3.17-3.28, 3 Dy 3.49-3.54
Dy (0.1789, 0.8211, 0.7500)  4 Pb 3.11-3.19
Dy (0.2434, 0.5404, 0.0613)  3 Pb 3.19-3.44, 1 Dy 3.52
Dy (0.3222, 0.1183, 0.8132)  3 Pb 3.17-3.28, 3 Dy 3.49-3.54
Dy (0.4596, 0.7565, 0.4387)  3 Pb 3.19-3.44, 1 Dy 3.52
Dy (0.5404, 0.2434, 0.5613)  3 Pb 3.19-3.44, 1 Dy 3.52
Dy (0.6778, 0.8817, 0.1868)  3 Pb 3.17-3.28, 3 Dy 3.49-3.54
Dy (0.7565, 0.4596, 0.9387)  3 Pb 3.19-3.44, 1 Dy 3.52
Dy (0.8211, 0.1789, 0.2500)  4 Pb 3.11-3.19
Dy (0.8817, 0.6778, 0.6868)  3 Pb 3.17-3.28, 3 Dy 3.49-3.54
Pb (0.0876, 0.7177, 0.4141)  8 Dy 3.11-3.44
Pb (0.2823, 0.9124, 0.0859)  8 Dy 3.11-3.44
Pb (0.7177, 0.0876, 0.9141)  8 Dy 3.11-3.44
Pb (0.9124, 0.2823, 0.5859)  8 Dy 3.11-3.44

## Properties
SG ... C2/c
Magnetic moment ... 0.00 Bohr magnetons per cell
D(E_F) ... 1.02 states/eV/atom
Crystal system ... monoclinic

***

Most stable to least stable, the ends of the list are A and B.

***

A:
The following is a DFT calculation (GGA-PBE) of a geometry-optimized DyPd6Pb structure.

Unit cell a=5.8238 b=5.8238 c=4.1182 alpha=90.00 beta=90.00 gamma=90.00
Closest atoms and distances in Å follow each position.
Atoms (fractional coordinates):
Dy (0.0000, 0.0000, 0.0000)  12 Pd 2.91
Pd (0.0000, 0.5000, 0.0000)  2 Pb 2.91, 2 Dy 2.91, 8 Pd 2.91
Pd (0.2495, 0.2495, 0.5000)  8 Pd 2.91-2.92, 2 Dy 2.91, 2 Pb 2.91
Pd (0.2495, 0.7505, 0.5000)  8 Pd 2.91-2.92, 2 Dy 2.91, 2 Pb 2.91
Pd (0.5000, 0.0000, 0.0000)  2 Pb 2.91, 2 Dy 2.91, 8 Pd 2.91
Pd (0.7505, 0.2495, 0.5000)  8 Pd 2.91-2.92, 2 Dy 2.91, 2 Pb 2.91
Pd (0.7505, 0.7505, 0.5000)  8 Pd 2.91-2.92, 2 Dy 2.91, 2 Pb 2.91
Pb (0.5000, 0.5000, 0.0000)  12 Pd 2.91

## Properties
SG ... P4/mmm
Magnetic moment ... 0.00 Bohr magnetons per cell
D(E_F) ... 0.22 states/eV/atom
Crystal system ... tetragonal

***

B:
The following is a DFT calculation (GGA-PBE) of a geometry-optimized DyPd6Pb structure.

Unit cell a=5.5014 b=5.5014 c=5.5014 alpha=84.94 beta=84.94 gamma=84.94
Closest atoms and distances in Å follow each position.
Atoms (fractional coordinates):
Dy (0.0000, 0.0000, 0.0000)  6 Pd 2.74
Pd (0.1606, 0.1606, 0.5332)  5 Pd 2.68-2.87, 1 Dy 2.74, 1 Pb 2.74
Pd (0.1606, 0.5332, 0.1606)  5 Pd 2.68-2.87, 1 Dy 2.74, 1 Pb 2.74
Pd (0.4668, 0.8394, 0.8394)  5 Pd 2.68-2.87, 1 Dy 2.74, 1 Pb 2.74
Pd (0.5332, 0.1606, 0.1606)  5 Pd 2.68-2.87, 1 Dy 2.74, 1 Pb 2.74
Pd (0.8394, 0.4668, 0.8394)  5 Pd 2.68-2.87, 1 Dy 2.74, 1 Pb 2.74
Pd (0.8394, 0.8394, 0.4668)  5 Pd 2.68-2.87, 1 Dy 2.74, 1 Pb 2.74
Pb (0.5000, 0.5000, 0.5000)  6 Pd 2.74

## Properties
SG ... R-3m
Magnetic moment ... 0.00 Bohr magnetons per cell
D(E_F) ... 0.60 states/eV/atom
Crystal system ... trigonal

***

Most stable to least stable, the ends of the list are A and B.

***

A:
The following is a DFT calculation (GGA-PBE) of a geometry-optimized Pm3DyPb4 structure.

Unit cell a=7.4481 b=7.4481 c=5.2648 alpha=90.00 beta=90.00 gamma=118.68
Closest atoms and distances in Å follow each position.
Atoms (fractional coordinates):
Pm (0.0000, 0.0000, 0.0000)  6 Pb 3.24-3.29
Pm (0.0000, 0.5000, 0.5000)  6 Pb 3.20-3.25
Pm (0.5000, 0.0000, 0.5000)  6 Pb 3.20-3.25
Dy (0.5000, 0.5000, 0.0000)  6 Pb 3.17-3.21
Pb (0.2526, 0.7474, 0.0000)  1 Dy 3.17, 5 Pm 3.24-3.25
Pb (0.2588, 0.2588, 0.5000)  4 Pm 3.20-3.29, 2 Dy 3.21
Pb (0.7412, 0.7412, 0.5000)  4 Pm 3.20-3.29, 2 Dy 3.21
Pb (0.7474, 0.2526, 0.0000)  1 Dy 3.17, 5 Pm 3.24-3.25

## Properties
SG ... Cmmm
Magnetic moment ... 0.00 Bohr magnetons per cell
D(E_F) ... 0.68 states/eV/atom
Crystal system ... orthorhombic

***

B:
The following is a DFT calculation (GGA-PBE) of a geometry-optimized Pm3DyPb4 structure.

Unit cell a=11.2669 b=6.5205 c=6.5217 alpha=90.00 beta=90.00 gamma=90.00
Closest atoms and distances in Å follow each position.
Atoms (fractional coordinates):
Pm (0.0000, 0.9999, 0.0000)  8 Pb 3.26-3.64, 4 Pm 3.64
Pm (0.2499, 0.2503, 0.2499)  8 Pb 3.26-3.64, 2 Dy 3.64, 2 Pm 3.64
Pm (0.2501, 0.7497, 0.7499)  8 Pb 3.26-3.64, 2 Dy 3.64, 2 Pm 3.64
Pm (0.5000, 0.0001, 0.5000)  8 Pb 3.26-3.64, 4 Pm 3.64
Pm (0.7501, 0.2503, 0.2499)  8 Pb 3.26-3.64, 2 Dy 3.64, 2 Pm 3.64
Pm (0.7499, 0.7497, 0.7499)  8 Pb 3.26-3.64, 2 Dy 3.64, 2 Pm 3.64
Dy (0.0000, 0.5007, 0.4997)  8 Pb 3.26-3.64, 4 Pm 3.64
Dy (0.5000, 0.4993, 0.9997)  8 Pb 3.26-3.64, 4 Pm 3.64
Pb (0.0000, 0.0004, 0.4999)  2 Dy 3.26, 6 Pm 3.26-3.64, 4 Pb 3.64-3.65
Pb (0.0000, 0.5002, 0.9999)  6 Pm 3.26-3.64, 2 Dy 3.26, 4 Pb 3.64
Pb (0.2496, 0.2503, 0.7500)  6 Pm 3.26-3.64, 4 Pb 3.64-3.65, 2 Dy 3.64
Pb (0.2504, 0.7497, 0.2500)  6 Pm 3.26-3.64, 4 Pb 3.64-3.65, 2 Dy 3.64
Pb (0.5000, 0.9996, 0.9999)  2 Dy 3.26, 6 Pm 3.26-3.64, 4 Pb 3.64-3.65
Pb (0.5000, 0.4998, 0.4999)  6 Pm 3.26-3.64, 2 Dy 3.26, 4 Pb 3.64
Pb (0.7504, 0.2503, 0.7500)  6 Pm 3.26-3.64, 4 Pb 3.64-3.65, 2 Dy 3.64
Pb (0.7496, 0.7497, 0.2500)  6 Pm 3.26-3.64, 4 Pb 3.64-3.65, 2 Dy 3.64

## Properties
SG ... Pmn2_1
Magnetic moment ... 0.00 Bohr magnetons per cell
D(E_F) ... 0.69 states/eV/atom
Crystal system ... orthorhombic

***

Most stable to least stable, the ends of the list are B and A.

***

A:
The following is a DFT calculation (GGA-PBE) of a geometry-optimized Pm2DyPb2 structure.

Unit cell a=5.7159 b=5.7159 c=7.7482 alpha=123.72 beta=123.72 gamma=48.30
Closest atoms and distances in Å follow each position.
Atoms (fractional coordinates):
Pm (0.1882, 0.1882, 0.1121)  1 Pm 3.18, 5 Pb 3.26-3.50
Pm (0.8118, 0.8118, 0.8879)  1 Pm 3.18, 5 Pb 3.26-3.50
Dy (0.0000, 0.0000, 0.5000)  4 Pb 3.22
Pb (0.4253, 0.4253, 0.7132)  2 Dy 3.22, 5 Pm 3.26-3.50
Pb (0.5747, 0.5747, 0.2868)  2 Dy 3.22, 5 Pm 3.26-3.50

## Properties
SG ... C2/m
Magnetic moment ... 0.00 Bohr magnetons per cell
D(E_F) ... 0.79 states/eV/atom
Crystal system ... monoclinic

***

B:
The following is a DFT calculation (GGA-PBE) of a geometry-optimized Pm2DyPb2 structure.

Unit cell a=8.2810 b=8.2810 c=4.5347 alpha=90.00 beta=90.00 gamma=90.00
Closest atoms and distances in Å follow each position.
Atoms (fractional coordinates):
Pm (0.1680, 0.3320, 0.0000)  6 Pb 3.22-3.40
Pm (0.3320, 0.8320, 0.0000)  6 Pb 3.22-3.40
Pm (0.6680, 0.1680, 0.0000)  6 Pb 3.22-3.40
Pm (0.8320, 0.6680, 0.0000)  6 Pb 3.22-3.40
Dy (0.0000, 0.0000, 0.5000)  4 Pb 3.22
Dy (0.5000, 0.5000, 0.5000)  4 Pb 3.22
Pb (0.1365, 0.6365, 0.5000)  1 Pb 3.20, 2 Dy 3.22, 6 Pm 3.22-3.40
Pb (0.3635, 0.1365, 0.5000)  1 Pb 3.20, 2 Dy 3.22, 6 Pm 3.22-3.40
Pb (0.6365, 0.8635, 0.5000)  1 Pb 3.20, 2 Dy 3.22, 6 Pm 3.22-3.40
Pb (0.8635, 0.3635, 0.5000)  1 Pb 3.20, 2 Dy 3.22, 6 Pm 3.22-3.40

## Properties
SG ... P4/mbm
Magnetic moment ... 0.00 Bohr magnetons per cell
D(E_F) ... 0.95 states/eV/atom
Crystal system ... tetragonal

***

Most stable to least stable, the ends of the list are B and A.

***

A:
The following is a DFT calculation (GGA-PBE) of a geometry-optimized Pm3Dy2Pb4 structure.

Unit cell a=6.3020 b=6.3020 c=10.1069 alpha=94.70 beta=94.70 gamma=45.87
Closest atoms and distances in Å follow each position.
Atoms (fractional coordinates):
Pm (0.0000, 0.0000, 0.0000)  4 Pb 3.17
Pm (0.3699, 0.3699, 0.5823)  6 Pb 3.15-3.49
Pm (0.6301, 0.6301, 0.4177)  6 Pb 3.15-3.49
Dy (0.3185, 0.3185, 0.1977)  5 Pb 3.13-3.19
Dy (0.6815, 0.6815, 0.8023)  5 Pb 3.13-3.19
Pb (0.0819, 0.0819, 0.6384)  2 Dy 3.13, 1 Pb 3.24, 5 Pm 3.40-3.49
Pb (0.3469, 0.3469, 0.8900)  3 Pm 3.15-3.17, 3 Dy 3.16-3.19
Pb (0.6531, 0.6531, 0.1100)  3 Pm 3.15-3.17, 3 Dy 3.16-3.19
Pb (0.9181, 0.9181, 0.3616)  2 Dy 3.13, 1 Pb 3.24, 5 Pm 3.40-3.49

## Properties
SG ... C2/m
Magnetic moment ... 1.17 Bohr magnetons per cell
D(E_F) ... 0.62 states/eV/atom
Crystal system ... monoclinic

***

B:
The following is a DFT calculation (GGA-PBE) of a geometry-optimized Pm3Dy2Pb4 structure.

Unit cell a=8.6616 b=8.6616 c=6.8774 alpha=104.55 beta=104.55 gamma=34.20
Closest atoms and distances in Å follow each position.
Atoms (fractional coordinates):
Pm (0.0000, 0.0000, 0.0000)  4 Pb 3.19
Pm (0.1169, 0.1169, 0.5809)  7 Pb 3.29-3.55
Pm (0.8831, 0.8831, 0.4191)  7 Pb 3.29-3.55
Dy (0.3327, 0.3327, 0.9237)  5 Pb 3.06-3.33
Dy (0.6673, 0.6673, 0.0763)  5 Pb 3.06-3.33
Pb (0.2459, 0.2459, 0.2905)  3 Dy 3.06-3.21, 3 Pm 3.29-3.37
Pb (0.4930, 0.4930, 0.7165)  1 Pb 3.05, 2 Pm 3.19, 2 Dy 3.27-3.33
Pb (0.5070, 0.5070, 0.2835)  1 Pb 3.05, 2 Pm 3.19, 2 Dy 3.27-3.33
Pb (0.7541, 0.7541, 0.7095)  3 Dy 3.06-3.21, 3 Pm 3.29-3.37

## Properties
SG ... C2/m
Magnetic moment ... 0.00 Bohr magnetons per cell
D(E_F) ... 0.60 states/eV/atom
Crystal system ... monoclinic

***

Most stable to least stable, the ends of the list are B and A.

***

A:
The following is a DFT calculation (GGA-PBE) of a geometry-optimized Pr5DyPb6 structure.

Unit cell a=7.1050 b=7.1050 c=8.4525 alpha=96.37 beta=96.37 gamma=107.49
Closest atoms and distances in Å follow each position.
Atoms (fractional coordinates):
Pr (0.0000, 0.0000, 0.0000)  6 Pb 3.28-3.30
Pr (0.1690, 0.8310, 0.5000)  6 Pb 3.25-3.31
Pr (0.3311, 0.6689, 0.0000)  6 Pb 3.25-3.35
Pr (0.6689, 0.3311, 0.0000)  6 Pb 3.25-3.35
Pr (0.8310, 0.1690, 0.5000)  6 Pb 3.25-3.31
Dy (0.5000, 0.5000, 0.5000)  6 Pb 3.20-3.22
Pb (0.0934, 0.4134, 0.2531)  1 Dy 3.22, 5 Pr 3.25-3.35
Pb (0.2543, 0.2543, 0.7463)  1 Dy 3.20, 5 Pr 3.30-3.31
Pb (0.4134, 0.0934, 0.2531)  1 Dy 3.22, 5 Pr 3.25-3.35
Pb (0.5866, 0.9066, 0.7469)  1 Dy 3.22, 5 Pr 3.25-3.35
Pb (0.7457, 0.7457, 0.2537)  1 Dy 3.20, 5 Pr 3.30-3.31
Pb (0.9066, 0.5866, 0.7469)  1 Dy 3.22, 5 Pr 3.25-3.35

## Properties
SG ... C2/m
Magnetic moment ... 0.00 Bohr magnetons per cell
D(E_F) ... 0.64 states/eV/atom
Crystal system ... monoclinic

***

B:
The following is a DFT calculation (GGA-PBE) of a geometry-optimized Pr5DyPb6 structure.

Unit cell a=5.0769 b=9.2560 c=8.1173 alpha=90.00 beta=107.61 gamma=90.00
Closest atoms and distances in Å follow each position.
Atoms (fractional coordinates):
Pr (0.0000, 0.0000, 0.0000)  8 Pb 3.45-3.46, 4 Pr 3.60-3.64
Pr (0.3334, 0.0000, 0.6667)  8 Pb 3.45-3.50, 4 Pr 3.60-3.64
Pr (0.3352, 0.5000, 0.6705)  8 Pb 3.42-3.49, 2 Dy 3.58-3.62, 2 Pr 3.64-3.68
Pr (0.6648, 0.5000, 0.3295)  8 Pb 3.42-3.49, 2 Dy 3.58-3.62, 2 Pr 3.64-3.68
Pr (0.6666, 0.0000, 0.3333)  8 Pb 3.45-3.50, 4 Pr 3.60-3.64
Dy (0.0000, 0.5000, 0.0000)  8 Pb 3.42-3.43, 4 Pr 3.58-3.62
Pb (0.1649, 0.2527, 0.3301)  7 Pr 3.42-3.50, 1 Dy 3.43, 4 Pb 3.58-3.67
Pb (0.1649, 0.7473, 0.3301)  7 Pr 3.42-3.50, 1 Dy 3.43, 4 Pb 3.58-3.67
Pb (0.5000, 0.2527, 0.0000)  2 Dy 3.42, 6 Pr 3.43-3.48, 4 Pb 3.58-3.62
Pb (0.5000, 0.7473, 0.0000)  2 Dy 3.42, 6 Pr 3.43-3.48, 4 Pb 3.58-3.62
Pb (0.8351, 0.2527, 0.6699)  7 Pr 3.42-3.50, 1 Dy 3.43, 4 Pb 3.58-3.67
Pb (0.8351, 0.7473, 0.6699)  7 Pr 3.42-3.50, 1 Dy 3.43, 4 Pb 3.58-3.67

## Properties
SG ... P2/m
Magnetic moment ... 0.04 Bohr magnetons per cell
D(E_F) ... 0.85 states/eV/atom
Crystal system ... monoclinic

***

Most stable to least stable, the ends of the list are B and A.